{"formula": "Sr2GaTeS5", "functional": "PBE", "state": "relaxed", "lattice_angstrom": [[2.1024, -8.5760, 0.0000], [2.1024, 8.5760, 0.0000], [0.0000, 0.0000, 12.4171]], "species": ["Sr", "Sr", "Sr", "Sr", "Ga", "Ga", "Te", "Te", "S", "S", "S", "S", "S", "S", "S", "S", "S", "S"], "frac_coords": [[0.1059, 0.8941, 0.5000], [0.1322, 0.8678, 0.1431], [0.8678, 0.1322, 0.6431], [0.8941, 0.1059, 0.0000], [0.4427, 0.5573, 0.2327], [0.5573, 0.4427, 0.7327], [0.2097, 0.7903, 0.8510], [0.7903, 0.2097, 0.3510], [0.0344, 0.9656, 0.8277], [0.2871, 0.7129, 0.4665], [0.3184, 0.6816, 0.1613], [0.3528, 0.6472, 0.8227], [0.4847, 0.5153, 0.5797], [0.5153, 0.4847, 0.0797], [0.6472, 0.3528, 0.3227], [0.6816, 0.3184, 0.6613], [0.7129, 0.2871, 0.9665], [0.9656, 0.0344, 0.3277]], "m_tot_mub_per_fu": 0.00, "spacegroup": "Cmc2_1", "raw_formation_energy_ev_per_atom": -1.075, "total_energy_ev_per_cell": -79.70}